The following is a DFT calculation (PBE) of a relaxed structure of Pm2MgZn12Cu3.

Results
calculated total energy: -1.92 eV per atom
space-group type: R-3m (166)

Cell lengths 8.4573, 8.4573, 8.4573 Å; angles 57.19, 57.19, 57.19 degrees
Positions (direct):
1 Pm 0.1001 0.1001 0.1001
2 Pm 0.8999 0.8999 0.8999
3 Mg 0.5000 0.5000 0.5000
4 Zn 0.0129 0.6613 0.6613
5 Zn 0.1553 0.1553 0.6398
6 Zn 0.1553 0.6398 0.1553
7 Zn 0.3387 0.3387 0.9871
8 Zn 0.3387 0.9871 0.3387
9 Zn 0.3602 0.8447 0.8447
10 Zn 0.6398 0.1553 0.1553
11 Zn 0.6613 0.0129 0.6613
12 Zn 0.6613 0.6613 0.0129
13 Zn 0.8447 0.3602 0.8447
14 Zn 0.8447 0.8447 0.3602
15 Zn 0.9871 0.3387 0.3387
16 Cu 0.0000 0.5000 0.5000
17 Cu 0.5000 0.0000 0.5000
18 Cu 0.5000 0.5000 0.0000


The following is a DFT calculation (PBE) of a relaxed structure of AcNdTh.

Results
calculated total energy: -5.33 eV per atom
space-group type: P-1 (2)

Cell lengths 3.7288, 6.4970, 9.1618 Å; angles 89.87, 89.88, 89.98 degrees
Positions (direct):
1 Ac 0.2499 0.2443 0.4932
2 Ac 0.7501 0.7557 0.5068
3 Nd 0.2493 0.5834 0.1580
4 Nd 0.7507 0.4166 0.8420
5 Th 0.2508 0.9250 0.8457
6 Th 0.7492 0.0750 0.1543


no.,calculated formation energy (eV/atom)
1,0.23
2,0.11